{"formula": "Mg14CoMo", "functional": "GGA-PBE", "state": "optimized geometry", "e_form_mev_per_atom": 148, "density_g_cm3": 2.5, "sg": "P-6m2 (187)", "lattice": [[6.196, 0.000, 0.000], [-3.098, 5.366, 0.000], [0.000, 0.000, 9.813]], "species": ["Mg", "Mg", "Mg", "Mg", "Mg", "Mg", "Mg", "Mg", "Mg", "Mg", "Mg", "Mg", "Mg", "Mg", "Co", "Mo"], "fractional_positions": [[0.000, 0.000, 0.248], [0.000, 0.000, 0.752], [0.020, 0.510, 0.253], [0.020, 0.510, 0.747], [0.333, 0.166, 0.500], [0.337, 0.169, 0.000], [0.490, 0.510, 0.253], [0.490, 0.510, 0.747], [0.490, 0.980, 0.253], [0.490, 0.980, 0.747], [0.831, 0.169, 0.000], [0.831, 0.663, 0.000], [0.834, 0.166, 0.500], [0.834, 0.667, 0.500], [0.333, 0.667, 0.500], [0.333, 0.667, 0.000]]}